Computed, not measured: a relaxed structure of Na4Sc3SbTe8 at the GGA-PBE level of DFT.

Cell: 8.5987 8.5987 22.5828 Å, 90.00 90.00 120.00°
Closest atoms and distances in Å follow each position.
Space group R-3m (No. 166, hexagonal axes)
Asymmetric unit:
Na 0.0000 0.0000 0.0000 [3 per cell]  6 Te 3.20
Na 0.0000 0.5000 0.0000 [9 per cell]  6 Te 3.26-3.27
Sc 0.0000 0.5000 0.5000 [9 per cell]  6 Te 2.96-2.98
Sb 0.0000 0.0000 0.5000 [3 per cell]  6 Te 3.05
Te 0.0000 0.0000 0.2397 [6 per cell]  3 Sc 2.98, 3 Na 3.26
Te 0.0091 0.5045 0.7594 [18 per cell]  2 Sc 2.96, 1 Sb 3.05, 3 Na 3.20-3.27

Calculated values
Total moment = 0.00 μB/f.u.
Uncorrected formation energy = -1.00 eV/atom
Density = 4.7 g/cm³